(1)
A plane-wave DFT calculation with PBE-GGA was carried out for an optimized crystal structure of Tm6HgPt2.

Values from the calculation:
For the spin magnetization, the calculation gives 0.0 μB/cell. As for the formation energy from the elements: -0.75 eV per atom. The volume comes out at 25.3 Å³/atom. Its density of states at the Fermi level is 0.9825 states/eV/atom. The mass density is 11.69 g cm⁻³.

Unit cell a=8.413 b=8.413 c=8.413 alpha=104.70 beta=110.73 gamma=113.10
Element x y z (fractional)
Tm  0.530  0.712  0.818
Tm  0.470  0.288  0.182
Tm  0.106  0.288  0.818
Tm  0.894  0.712  0.182
Tm  0.800  0.762  0.562
Tm  0.200  0.238  0.438
Tm  0.200  0.762  0.961
Tm  0.800  0.238  0.039
Tm  0.701  0.369  0.668
Tm  0.299  0.631  0.332
Tm  0.299  0.967  0.668
Tm  0.701  0.033  0.332
Hg  0.000  0.500  0.500
Hg  0.000  0.000  0.000
Pt  0.500  0.364  0.864
Pt  0.500  0.636  0.136
Pt  0.659  0.000  0.659
Pt  0.341  0.000  0.341

***

(2)
A plane-wave DFT calculation with PBE-GGA was carried out for an optimized crystal structure of TmHgPt.

Values from the calculation:
For the spin magnetization, the calculation gives 0.0 μB/cell. As for the formation energy from the elements: -0.77 eV per atom. The volume comes out at 24.2 Å³/atom. Its density of states at the Fermi level is 0.5089 states/eV/atom. The mass density is 12.91 g cm⁻³.

Unit cell a=4.683 b=4.683 c=4.683 alpha=60.00 beta=60.00 gamma=60.00
Element x y z (fractional)
Tm  0.500  0.500  0.500
Hg  0.000  0.000  0.000
Pt  0.250  0.250  0.250

***

(3)
A plane-wave DFT calculation with PBE-GGA was carried out for an optimized crystal structure of Tm4Hg5Pt2.

Values from the calculation:
For the spin magnetization, the calculation gives 0.0 μB/cell. As for the formation energy from the elements: -0.70 eV per atom. The volume comes out at 23.6 Å³/atom. Its density of states at the Fermi level is 0.6099 states/eV/atom. The mass density is 13.22 g cm⁻³.

Unit cell a=3.542 b=7.627 c=9.649 alpha=94.34 beta=90.00 gamma=90.00
Element x y z (fractional)
Tm  0.500  0.779  0.560
Tm  0.500  0.179  0.853
Tm  0.500  0.221  0.440
Tm  0.500  0.821  0.147
Hg  0.000  0.537  0.330
Hg  0.000  0.169  0.139
Hg  0.000  0.500  0.000
Hg  0.000  0.831  0.861
Hg  0.000  0.463  0.670
Pt  0.000  0.076  0.639
Pt  0.000  0.924  0.361

***

(4)
A plane-wave DFT calculation with PBE-GGA was carried out for an optimized crystal structure of TmHgPt2.

Values from the calculation:
For the spin magnetization, the calculation gives 0.0 μB/cell. As for the formation energy from the elements: -0.79 eV per atom. The volume comes out at 19.3 Å³/atom. As for the relative energy among the computed polymorphs: 0 meV/atom. Its density of states at the Fermi level is 0.2673 states/eV/atom. The mass density is 16.38 g cm⁻³.

Unit cell a=3.600 b=3.600 c=5.944 alpha=90.00 beta=90.00 gamma=90.00
Element x y z (fractional)
Tm  0.500  0.500  0.000
Hg  0.500  0.500  0.500
Pt  0.000  0.000  0.749
Pt  0.000  0.000  0.251

***

(5)
A plane-wave DFT calculation with PBE-GGA was carried out for an optimized crystal structure of Tm6Hg2Pt.

Values from the calculation:
For the spin magnetization, the calculation gives 0.0 μB/cell. As for the formation energy from the elements: -0.44 eV per atom. The volume comes out at 28.0 Å³/atom. Its density of states at the Fermi level is 0.8381 states/eV/atom. The mass density is 10.61 g cm⁻³.

Unit cell a=6.746 b=7.406 c=10.084 alpha=90.00 beta=89.38 gamma=90.00
Element x y z (fractional)
Tm  0.873  0.981  0.242
Tm  0.818  0.679  0.556
Tm  0.838  0.695  0.948
Tm  0.662  0.195  0.552
Tm  0.682  0.179  0.944
Tm  0.627  0.481  0.258
Tm  0.127  0.019  0.758
Tm  0.182  0.321  0.444
Tm  0.162  0.305  0.052
Tm  0.338  0.805  0.448
Tm  0.318  0.821  0.056
Tm  0.373  0.519  0.742
Hg  0.948  0.398  0.751
Hg  0.552  0.898  0.749
Hg  0.448  0.102  0.251
Hg  0.052  0.602  0.249
Pt  0.500  0.500  0.000
Pt  0.000  0.000  0.500

***

(6)
A plane-wave DFT calculation with PBE-GGA was carried out for an optimized crystal structure of Tm3Hg2Pt.

Values from the calculation:
For the spin magnetization, the calculation gives 0.0 μB/cell. As for the formation energy from the elements: -0.63 eV per atom. The volume comes out at 26.4 Å³/atom. As for the relative energy among the computed polymorphs: 123 meV/atom. Its density of states at the Fermi level is 0.6317 states/eV/atom. The mass density is 11.58 g cm⁻³.

Unit cell a=5.846 b=7.711 c=7.841 alpha=104.20 beta=111.89 gamma=90.00
Element x y z (fractional)
Tm  0.501  0.250  0.000
Tm  0.499  0.750  0.000
Tm  0.137  0.068  0.274
Tm  0.863  0.432  0.726
Tm  0.137  0.568  0.274
Tm  0.863  0.932  0.726
Hg  0.686  0.593  0.373
Hg  0.686  0.093  0.373
Hg  0.314  0.907  0.627
Hg  0.314  0.407  0.627
Pt  0.999  0.750  0.000
Pt  0.001  0.250  0.000